Record 1
ZrTcAs2 (PBE-GGA, optimized geometry); SG = Cm, No. 8; energy relative to the lowest polymorph listed for this composition = 0.115 eV/atom; calculated formation energy = -1.9 eV per formula unit
1.0
4.6411 -1.6308 0.0000
4.6411 1.6308 0.0000
-1.2196 0.0000 4.5720
Zr Tc As
1 1 2
Direct
0.0000 0.0000 0.0000
0.2335 0.2335 0.6024
0.5108 0.5108 0.5040
0.7431 0.7431 0.1664

***

Record 2
ZrTcAs4 (PBE-GGA, optimized geometry); SG = F-43m, No. 216; calculated formation energy = 2.8 eV per formula unit
1.0
0.0000 3.8251 3.8251
3.8251 0.0000 3.8251
3.8251 3.8251 0.0000
Zr Tc As
1 1 4
Direct
0.0000 0.0000 0.0000
0.2500 0.2500 0.2500
0.1261 0.6246 0.6246
0.6246 0.1261 0.6246
0.6246 0.6246 0.1261
0.6246 0.6246 0.6246

***

Record 3
Zr2TcAs (PBE-GGA, optimized geometry); SG = R-3m, No. 166; calculated formation energy = -1.7 eV per formula unit
1.0
1.7502 1.0105 7.4606
-1.7502 1.0105 7.4606
0.0000 -2.0210 7.4606
Zr Tc As
2 1 1
Direct
0.2476 0.2476 0.2476
0.7524 0.7524 0.7524
0.0000 0.0000 0.0000
0.5000 0.5000 0.5000

***

Record 4
ZrTcAs2 (PBE-GGA, optimized geometry); SG = P4mm, No. 99; energy relative to the lowest polymorph listed for this composition = 0.127 eV/atom; calculated formation energy = -1.8 eV per formula unit
1.0
3.4236 0.0000 0.0000
0.0000 3.4236 0.0000
0.0000 0.0000 5.9462
Zr Tc As
1 1 2
Direct
0.0000 0.0000 0.0000
0.5000 0.5000 0.6766
0.0000 0.0000 0.4995
0.5000 0.5000 0.1882

***

Record 5
Zr2TcAs (PBE-GGA, optimized geometry); SG = Cmmm, No. 65; calculated formation energy = -2.0 eV per formula unit
1.0
2.9707 -3.5995 0.0000
2.9707 3.5995 0.0000
0.0000 0.0000 3.4289
Zr Tc As
2 1 1
Direct
0.0000 0.5000 0.0000
0.5000 0.0000 0.0000
0.0000 0.0000 0.5000
0.5000 0.5000 0.5000

***

Record 6
ZrTc2As (PBE-GGA, optimized geometry); SG = R-3m, No. 166; calculated formation energy = 0.3 eV per formula unit
1.0
1.5912 0.9187 7.8369
-1.5912 0.9187 7.8369
0.0000 -1.8374 7.8369
Zr Tc As
1 2 1
Direct
0.0000 0.0000 0.0000
0.2425 0.2425 0.2425
0.7575 0.7575 0.7575
0.5000 0.5000 0.5000

***

Record 7
ZrTc3As (PBE-GGA, optimized geometry); SG = Pm-3m, No. 221; energy relative to the lowest polymorph listed for this composition = 0.000 eV/atom; calculated formation energy = 2.6 eV per formula unit
1.0
4.5333 0.0000 0.0000
0.0000 4.5333 0.0000
0.0000 0.0000 4.5333
Zr Tc As
1 3 1
Direct
0.0000 0.0000 0.0000
0.0000 0.5000 0.5000
0.5000 0.0000 0.5000
0.5000 0.5000 0.0000
0.5000 0.5000 0.5000

***

Record 8
ZrTc2As2 (PBE-GGA, optimized geometry); SG = P4/mbm, No. 127; energy relative to the lowest polymorph listed for this composition = 0.094 eV/atom; calculated formation energy = -1.2 eV per formula unit
1.0
7.3216 0.0000 0.0000
0.0000 7.3216 0.0000
0.0000 0.0000 3.0288
Zr Tc As
2 4 4
Direct
0.0000 0.0000 0.0000
0.5000 0.5000 0.0000
0.1408 0.3592 0.5000
0.3592 0.8592 0.5000
0.6408 0.1408 0.5000
0.8592 0.6408 0.5000
0.1530 0.6530 0.0000
0.3470 0.1530 0.0000
0.6530 0.8470 0.0000
0.8470 0.3470 0.0000

***

Record 9
ZrTcAs2 (PBE-GGA, optimized geometry); SG = I-42d, No. 122; energy relative to the lowest polymorph listed for this composition = 0.607 eV/atom; calculated formation energy = 0.1 eV per formula unit
1.0
-2.6057 2.6057 6.8669
2.6057 -2.6057 6.8669
2.6057 2.6057 -6.8669
Zr Tc As
2 2 4
Direct
0.0000 0.0000 0.0000
0.7500 0.2500 0.5000
0.2500 0.7500 0.5000
0.5000 0.5000 0.0000
0.1756 0.6250 0.0506
0.3750 0.4256 0.5506
0.5744 0.1250 0.9494
0.8750 0.8244 0.4494

***

Record 10
ZrTc2As2 (PBE-GGA, optimized geometry); SG = I4/mmm, No. 139; energy relative to the lowest polymorph listed for this composition = 0.166 eV/atom; calculated formation energy = -0.8 eV per formula unit
1.0
-2.2545 2.2545 4.4212
2.2545 -2.2545 4.4212
2.2545 2.2545 -4.4212
Zr Tc As
1 2 2
Direct
0.0000 0.0000 0.0000
0.3705 0.3705 0.0000
0.6295 0.6295 0.0000
0.2500 0.7500 0.5000
0.7500 0.2500 0.5000

***

Record 11
ZrTcAs2 (PBE-GGA, optimized geometry); SG = Imm2, No. 44; energy relative to the lowest polymorph listed for this composition = 0.000 eV/atom; calculated formation energy = -2.3 eV per formula unit
1.0
-1.7403 1.7646 5.8354
1.7403 -1.7646 5.8354
1.7403 1.7646 -5.8354
Zr Tc As
1 1 2
Direct
0.0000 0.0000 0.0000
0.7483 0.2483 0.5000
0.3233 0.8233 0.5000
0.5890 0.5890 0.0000

***

Record 12
ZrTc2As (PBE-GGA, optimized geometry); SG = P4/mmm, No. 123; calculated formation energy = -1.0 eV per formula unit
1.0
4.3643 0.0000 0.0000
0.0000 4.3643 0.0000
0.0000 0.0000 3.3526
Zr Tc As
1 2 1
Direct
0.0000 0.0000 0.0000
0.0000 0.5000 0.5000
0.5000 0.0000 0.5000
0.5000 0.5000 0.0000

***

| no. | total DFT energy (no corrections) (eV per atom) |
| --- | --- |
| 1 | -7.5247 |
| 2 | -5.7812 |
| 3 | -8.4409 |
| 4 | -7.5128 |
| 5 | -8.5205 |
| 6 | -8.4059 |
| 7 | -8.3317 |
| 8 | -7.9478 |
| 9 | -7.0330 |
| 10 | -7.8758 |
| 11 | -7.6399 |
| 12 | -8.7217 |